This record from Alexandria via LeMat-Bulk describes an optimized crystal structure of ErPu2Th. The functional is PBE-GGA.

Cell lengths 3.4739, 3.4739, 9.5592 Å; angles 90.00, 90.00, 90.00 degrees
Last column: nearest neighbours and their distance in Å.
Positions (direct):
Th: 0.5000 0.5000 0.5000  8 Pu 3.38, 4 Th 3.47
Pu: 0.0000 0.0000 0.2567  4 Th 3.38, 4 Er 3.47, 4 Pu 3.47
Pu: 0.0000 0.0000 0.7433  4 Th 3.38, 4 Er 3.47, 4 Pu 3.47
Er: 0.5000 0.5000 0.0000  8 Pu 3.47, 4 Er 3.47

Calculated values
The formation energy comes out at 0.166 eV per atom. The total magnetization is 12.01 μB per cell. The total energy comes out at -40.0 eV per cell.